Mg2TiWO6 (PBE+U, optimized geometry); total magnetization = 2.0 μB/f.u.; ΔE to the lowest computed polymorph = 0.0000 eV/atom
1.0
-0.513 4.439 -3.003
-4.417 1.173 2.488
-0.465 5.170 7.722
Mg Ti W O
4 2 2 12
direct
0.959 0.765 0.239
0.459 0.235 0.261
0.041 0.235 0.761
0.541 0.765 0.739
0.000 0.500 0.000
0.500 0.500 0.500
0.000 0.000 0.500
0.500 0.000 0.000
0.672 0.230 0.447
0.172 0.770 0.053
0.328 0.770 0.553
0.828 0.230 0.947
0.812 0.594 0.577
0.312 0.406 0.923
0.188 0.406 0.423
0.688 0.594 0.077
0.581 0.864 0.259
0.081 0.136 0.241
0.919 0.864 0.759
0.419 0.136 0.741